Compound: NaCd3In2
Source: Alexandria
Functional: PBE-GGA
Structure: optimized geometry

abc: 8.8721 8.8721 8.8721
angles: 148.52 119.39 69.90
Fractional positions:
Na1 0.1287 0.1287 0.0000
Na2 0.8713 0.8713 0.0000
Cd1 0.1088 0.3168 0.7920
Cd2 0.3391 0.0000 0.3391
Cd3 0.4752 0.6832 0.7920
Cd4 0.5248 0.3168 0.2080
Cd5 0.6609 0.0000 0.6609
Cd6 0.8912 0.6832 0.2080
In1 0.1604 0.5000 0.6604
In2 0.3095 0.8095 0.5000
In3 0.6905 0.1905 0.5000
In4 0.8396 0.5000 0.3396

Energy in eV/atom: -1.63
N(E_F) in states/eV per cell: 4.2
E above lowest polymorph in meV/atom: 0
V in Å³ per atom: 26.12